Entry 1:
Material: ZrSe2BrN
Method: DFT, PBE
State: optimized geometry

Its relative energy among the computed polymorphs is 0.000 eV/atom. As for the uncorrected energy: -4.9700 eV per atom. For the density of states at the Fermi level, the calculation gives 5.0 states/eV/f.u.

The structure in POSCAR format:
```
ZrSe2BrN
1.0
5.3607 0.0000 0.0000
0.0000 5.3607 0.0000
0.0000 0.0000 4.1879
Zr Se Br N
1 2 1 1
Cartesian
0.0000 0.0000 0.0000
0.0000 2.6804 0.0000
2.6804 0.0000 0.0000
2.6804 2.6804 2.0939
0.0000 0.0000 2.0939
```


Entry 2:
Material: CsGaSe2
Method: DFT, PBE
State: optimized geometry

As for the uncorrected energy: -3.6574 eV per atom. For the density of states at the Fermi level, the calculation gives 0.0 states/eV/f.u.

The structure in POSCAR format:
```
CsGaSe2
1.0
4.0331 0.0000 0.0000
0.0000 7.7040 0.0000
0.0000 0.0000 17.1320
Cs Ga Se
4 4 8
Cartesian
0.0000 0.0000 2.3848
0.0000 0.0000 14.7471
2.0165 3.8520 6.1811
2.0165 3.8520 10.9508
0.0000 0.0000 7.0035
0.0000 0.0000 10.1285
2.0165 3.8520 1.5625
2.0165 3.8520 15.5695
0.0000 1.8742 8.5660
0.0000 3.8520 3.0338
0.0000 3.8520 14.0982
0.0000 5.8299 8.5660
2.0165 0.0000 5.5322
2.0165 0.0000 11.5998
2.0165 1.9779 0.0000
2.0165 5.7262 0.0000
```


Entry 3:
Material: CoPd2Rh
Method: DFT, PBE
State: optimized geometry

The formation energy is 214 meV per atom. Its relative energy among the computed polymorphs is 0.113 eV/atom. As for the uncorrected energy: -5.9966 eV per atom. For the density of states at the Fermi level, the calculation gives 5.9 states/eV/f.u.

The structure in POSCAR format:
```
CoPd2Rh
1.0
6.1449 0.0000 0.0000
0.0000 6.1449 0.0000
0.0000 0.0000 6.1449
Co Pd Rh
4 8 4
Cartesian
0.0000 0.0000 0.0000
0.0000 3.0724 3.0724
3.0724 0.0000 3.0724
3.0724 3.0724 0.0000
0.0000 0.0000 3.0724
0.0000 3.0724 0.0000
1.5362 1.5362 1.5362
1.5362 4.6087 4.6087
3.0724 0.0000 0.0000
3.0724 3.0724 3.0724
4.6087 1.5362 4.6087
4.6087 4.6087 1.5362
1.5362 1.5362 4.6087
1.5362 4.6087 1.5362
4.6087 1.5362 1.5362
4.6087 4.6087 4.6087
```


Entry 4:
Material: ScTi2Cr2
Method: DFT, PBE
State: optimized geometry

The formation energy is 181 meV per atom. As for the uncorrected energy: -8.0924 eV per atom. For the density of states at the Fermi level, the calculation gives 4.0 states/eV/f.u.

The structure in POSCAR format:
```
ScTi2Cr2
1.0
7.2651 0.0000 0.0000
0.0000 7.2651 0.0000
0.0000 0.0000 3.1461
Sc Ti Cr
2 4 4
Cartesian
0.0000 0.0000 0.0000
3.6326 3.6326 0.0000
1.0999 2.5326 1.5731
2.5326 6.1652 1.5731
4.7325 1.0999 1.5731
6.1652 4.7325 1.5731
1.0075 4.6401 0.0000
2.6251 1.0075 0.0000
4.6401 6.2576 0.0000
6.2576 2.6251 0.0000
```